# Li2SmCd

Li2SmCd after structural relaxation (PBE, the Alexandria database).

Unit cell a=3.5279 b=3.5279 c=7.2168 alpha=90.00 beta=90.00 gamma=90.00
Last column: nearest neighbours and their distance in Å.
Positions (direct):
Li 0.0000 0.0000 0.1965  1 Li 2.84, 4 Cd 2.87
Li 0.0000 0.0000 0.8035  1 Li 2.84, 4 Cd 2.87
Sm 0.5000 0.5000 0.5000  8 Li 3.32, 4 Sm 3.53, 2 Cd 3.61
Cd 0.5000 0.5000 0.0000  8 Li 2.87

## Properties
As for the total DFT energy (no corrections): -2.4188 eV/atom. The density of states at the Fermi level comes out at 3.07 states/eV per cell. As for the space group: P4/mmm (123). Its excess energy over the best structure of this formula in the dataset is 38 meV/atom. The total moment comes out at 0.04 μB per formula unit.

***

# LaZrO2

LaZrO2 after structural relaxation (PBE, the Alexandria database).

Unit cell a=5.3447 b=5.3447 c=10.5798 alpha=90.00 beta=90.00 gamma=90.00
Last column: nearest neighbours and their distance in Å.
Positions (direct):
La 0.0000 0.0000 0.0000  4 O 2.46
La 0.0000 0.5000 0.2500  4 O 2.46
La 0.5000 0.0000 0.7500  4 O 2.46
La 0.5000 0.5000 0.5000  4 O 2.46
Zr 0.0000 0.0000 0.5000  4 O 2.17
Zr 0.0000 0.5000 0.7500  4 O 2.17
Zr 0.5000 0.0000 0.2500  4 O 2.17
Zr 0.5000 0.5000 0.0000  4 O 2.17
O 0.2031 0.2500 0.6250  2 Zr 2.17
O 0.2500 0.7031 0.8750  2 Zr 2.17
O 0.2500 0.7969 0.3750  2 Zr 2.17
O 0.2969 0.2500 0.1250  2 Zr 2.17
O 0.7031 0.7500 0.1250  2 Zr 2.17
O 0.7500 0.2031 0.3750  2 Zr 2.17
O 0.7500 0.2969 0.8750  2 Zr 2.17
O 0.7969 0.7500 0.6250  2 Zr 2.17

## Properties
As for the total DFT energy (no corrections): -8.1802 eV/atom. The density of states at the Fermi level comes out at 13.86 states/eV per cell. As for the space group: I-42d (122). Its excess energy over the best structure of this formula in the dataset is 315 meV/atom. The total moment comes out at 0.00 μB per formula unit. The formation energy (no corrections) is -2332 meV per atom.

***

# LiEr2Sn2

LiEr2Sn2 after structural relaxation (PBE, the Alexandria database).

Unit cell a=7.8115 b=7.8115 c=7.8115 alpha=131.19 beta=70.31 gamma=132.71
Last column: nearest neighbours and their distance in Å.
Positions (direct):
Li 0.2500 0.2500 0.0000  4 Sn 2.66
Li 0.7500 0.7500 0.0000  4 Sn 2.66
Er 0.1402 0.7166 0.8568  2 Li 3.00, 5 Sn 3.09-3.30
Er 0.3598 0.2166 0.5764  2 Li 3.00, 5 Sn 3.09-3.30
Er 0.6402 0.7834 0.4236  2 Li 3.00, 5 Sn 3.09-3.30
Er 0.8598 0.2834 0.1432  2 Li 3.00, 5 Sn 3.09-3.30
Sn 0.1173 0.2395 0.3567  2 Li 2.66
Sn 0.3827 0.7395 0.1222  2 Li 2.66
Sn 0.6173 0.2605 0.8778  2 Li 2.66
Sn 0.8827 0.7605 0.6433  2 Li 2.66

## Properties
As for the total DFT energy (no corrections): -4.3000 eV/atom. The density of states at the Fermi level comes out at 4.92 states/eV per cell. As for the space group: Ibam (72). The total moment comes out at 0.00 μB per formula unit.

***

# ZrCu2AsPt

ZrCu2AsPt after structural relaxation (PBE, the Alexandria database).

Unit cell a=4.6312 b=4.6312 c=4.7028 alpha=90.00 beta=90.00 gamma=90.00
Last column: nearest neighbours and their distance in Å.
Positions (direct):
Zr 0.0000 0.0000 0.0000  4 As 3.27, 8 Cu 3.30
Cu 0.0000 0.5000 0.5000  2 Pt 2.32
Cu 0.5000 0.0000 0.5000  2 Pt 2.32
As 0.5000 0.5000 0.0000  2 Pt 2.35
Pt 0.5000 0.5000 0.5000  4 Cu 2.32, 2 As 2.35

## Properties
As for the total DFT energy (no corrections): -5.0757 eV/atom. The density of states at the Fermi level comes out at 4.54 states/eV per cell. As for the space group: P4/mmm (123). The total moment comes out at 0.00 μB per formula unit.

***

# InSn2Sb2Au7

InSn2Sb2Au7 after structural relaxation (PBE, the Alexandria database).

Unit cell a=4.1626 b=4.1626 c=16.8051 alpha=96.98 beta=96.98 gamma=90.00
Last column: nearest neighbours and their distance in Å.
Positions (direct):
In 0.0000 0.0000 0.0000  12 Au 2.94-3.05
Sn 0.3728 0.3728 0.7543  5 Au 2.70-2.79
Sn 0.6272 0.6272 0.2457  5 Au 2.70-2.79
Sb 0.2175 0.2175 0.4263  5 Au 2.73-2.96
Sb 0.7825 0.7825 0.5737  5 Au 2.73-2.96
Au 0.0711 0.5697 0.1338  2 Sn 2.78-2.79, 6 Au 2.93-3.06, 2 In 3.03-3.05
Au 0.2905 0.2905 0.5910  1 Sn 2.70, 5 Sb 2.73-2.96
Au 0.4303 0.9289 0.8662  2 Sn 2.78-2.79, 6 Au 2.93-3.06, 2 In 3.03-3.05
Au 0.5000 0.5000 0.0000  4 In 2.94, 8 Au 3.02-3.06
Au 0.5697 0.0711 0.1338  2 Sn 2.78-2.79, 6 Au 2.93-3.06, 2 In 3.03-3.05
Au 0.7095 0.7095 0.4090  1 Sn 2.70, 5 Sb 2.73-2.96
Au 0.9289 0.4303 0.8662  2 Sn 2.78-2.79, 6 Au 2.93-3.06, 2 In 3.03-3.05

## Properties
As for the total DFT energy (no corrections): -3.5532 eV/atom. The density of states at the Fermi level comes out at 4.19 states/eV per cell. As for the space group: C2/m (12). The total moment comes out at 0.00 μB per formula unit. The formation energy (no corrections) is -59 meV per atom.

***

# Cr3Ag5

Cr3Ag5 after structural relaxation (PBE, the Alexandria database).

Unit cell a=7.9565 b=7.9565 c=5.3107 alpha=90.00 beta=90.00 gamma=120.00
Last column: nearest neighbours and their distance in Å.
Positions (direct):
Cr 0.0000 0.4022 0.2500  9 Ag 2.76-3.00, 2 Cr 3.08
Cr 0.0000 0.5978 0.7500  9 Ag 2.76-3.00, 2 Cr 3.08
Cr 0.4022 0.0000 0.2500  9 Ag 2.76-3.00, 2 Cr 3.08
Cr 0.4022 0.4022 0.7500  9 Ag 2.76-3.00, 2 Cr 3.08
Cr 0.5978 0.0000 0.7500  9 Ag 2.76-3.00, 2 Cr 3.08
Cr 0.5978 0.5978 0.2500  9 Ag 2.76-3.00, 2 Cr 3.08
Ag 0.0000 0.2267 0.7500  5 Cr 2.78-3.00
Ag 0.0000 0.7733 0.2500  5 Cr 2.78-3.00
Ag 0.2267 0.0000 0.7500  5 Cr 2.78-3.00
Ag 0.2267 0.2267 0.2500  5 Cr 2.78-3.00
Ag 0.3333 0.6667 0.0000  2 Ag 2.66, 6 Cr 2.76
Ag 0.3333 0.6667 0.5000  2 Ag 2.66, 6 Cr 2.76
Ag 0.6667 0.3333 0.0000  2 Ag 2.66, 6 Cr 2.76
Ag 0.6667 0.3333 0.5000  2 Ag 2.66, 6 Cr 2.76
Ag 0.7733 0.0000 0.2500  5 Cr 2.78-3.00
Ag 0.7733 0.7733 0.7500  5 Cr 2.78-3.00

## Properties
As for the total DFT energy (no corrections): -4.8320 eV/atom. The density of states at the Fermi level comes out at 7.26 states/eV per cell. As for the space group: P6_3/mcm (193). Its excess energy over the best structure of this formula in the dataset is 4 meV/atom. The total moment comes out at 12.69 μB per formula unit.

***

# Ba12Ag6Rh

Ba12Ag6Rh after structural relaxation (PBE, the Alexandria database).

Unit cell a=9.7188 b=9.7188 c=9.7188 alpha=98.84 beta=98.84 gamma=98.84
Last column: nearest neighbours and their distance in Å.
Positions (direct):
Ba 0.0309 0.9250 0.6891  1 Rh 3.07
Ba 0.0750 0.3109 0.9691  1 Rh 3.07
Ba 0.1787 0.5805 0.4220  4 Ag 3.31-3.58
Ba 0.3109 0.9691 0.0750  1 Rh 3.07
Ba 0.4195 0.5780 0.8213  4 Ag 3.31-3.58
Ba 0.4220 0.1787 0.5805  4 Ag 3.31-3.58
Ba 0.5780 0.8213 0.4195  4 Ag 3.31-3.58
Ba 0.5805 0.4220 0.1787  4 Ag 3.31-3.58
Ba 0.6891 0.0309 0.9250  1 Rh 3.07
Ba 0.8213 0.4195 0.5780  4 Ag 3.31-3.58
Ba 0.9250 0.6891 0.0309  1 Rh 3.07
Ba 0.9691 0.0750 0.3109  1 Rh 3.07
Ag 0.1330 0.3086 0.6259  6 Ba 3.31-3.58
Ag 0.3086 0.6259 0.1330  6 Ba 3.31-3.58
Ag 0.3741 0.8670 0.6914  6 Ba 3.31-3.58
Ag 0.6259 0.1330 0.3086  6 Ba 3.31-3.58
Ag 0.6914 0.3741 0.8670  6 Ba 3.31-3.58
Ag 0.8670 0.6914 0.3741  6 Ba 3.31-3.58
Rh 0.0000 0.0000 0.0000  6 Ba 3.07

## Properties
As for the total DFT energy (no corrections): -2.6716 eV/atom. The density of states at the Fermi level comes out at 9.55 states/eV per cell. As for the space group: R-3 (148). The total moment comes out at 0.00 μB per formula unit.

***

# Rb3CeNd2O6

Rb3CeNd2O6 after structural relaxation (PBE, the Alexandria database).

Unit cell a=6.3574 b=6.3574 c=6.9348 alpha=98.79 beta=98.79 gamma=120.00
Last column: nearest neighbours and their distance in Å.
Positions (direct):
Rb 0.0000 0.0000 0.0000  6 O 2.99-3.01
Rb 0.3335 0.6665 0.0000  6 O 2.99-3.01
Rb 0.6665 0.3335 0.0000  6 O 2.99-3.01
Ce 0.5000 0.5000 0.5000  6 O 2.41
Nd 0.1667 0.8333 0.5000  6 O 2.44
Nd 0.8333 0.1667 0.5000  6 O 2.44
O 0.1098 0.4401 0.3204  1 Ce 2.41, 2 Nd 2.44
O 0.2295 0.2295 0.6796  1 Ce 2.41, 2 Nd 2.44
O 0.4401 0.1098 0.3204  1 Ce 2.41, 2 Nd 2.44
O 0.5599 0.8902 0.6796  1 Ce 2.41, 2 Nd 2.44
O 0.7705 0.7705 0.3204  1 Ce 2.41, 2 Nd 2.44
O 0.8902 0.5599 0.6796  1 Ce 2.41, 2 Nd 2.44

## Properties
As for the total DFT energy (no corrections): -6.5610 eV/atom. The density of states at the Fermi level comes out at 3.18 states/eV per cell. As for the space group: C2/m (12). The total moment comes out at 0.93 μB per formula unit. The formation energy (no corrections) is -2551 meV per atom.

***

# ScInPd6

ScInPd6 after structural relaxation (PBE, the Alexandria database).

Unit cell a=8.0010 b=5.4090 c=7.2545 alpha=90.00 beta=108.55 gamma=90.00
Last column: nearest neighbours and their distance in Å.
Positions (direct):
Sc 0.0000 0.0000 0.0000  10 Pd 2.73-2.97
Sc 0.5000 0.5000 0.0000  10 Pd 2.73-2.97
In 0.0000 0.5000 0.5000  6 Pd 2.68-2.77
In 0.5000 0.0000 0.5000  6 Pd 2.68-2.77
Pd 0.1386 0.0000 0.4312  7 Pd 2.71-3.02, 3 In 2.77-3.02, 1 Sc 2.97
Pd 0.2039 0.2400 0.8032  5 Pd 2.60-2.89, 1 In 2.68, 2 Sc 2.73-2.80
Pd 0.2039 0.7600 0.8032  5 Pd 2.60-2.89, 1 In 2.68, 2 Sc 2.73-2.80
Pd 0.2961 0.2600 0.1968  5 Pd 2.60-2.89, 1 In 2.68, 2 Sc 2.73-2.80
Pd 0.2961 0.7400 0.1968  5 Pd 2.60-2.89, 1 In 2.68, 2 Sc 2.73-2.80
Pd 0.3614 0.5000 0.5688  7 Pd 2.71-3.02, 3 In 2.77-3.02, 1 Sc 2.97
Pd 0.6386 0.5000 0.4312  7 Pd 2.71-3.02, 3 In 2.77-3.02, 1 Sc 2.97
Pd 0.7039 0.2600 0.8032  5 Pd 2.60-2.89, 1 In 2.68, 2 Sc 2.73-2.80
Pd 0.7039 0.7400 0.8032  5 Pd 2.60-2.89, 1 In 2.68, 2 Sc 2.73-2.80
Pd 0.7961 0.2400 0.1968  5 Pd 2.60-2.89, 1 In 2.68, 2 Sc 2.73-2.80
Pd 0.7961 0.7600 0.1968  5 Pd 2.60-2.89, 1 In 2.68, 2 Sc 2.73-2.80
Pd 0.8614 0.0000 0.5688  7 Pd 2.71-3.02, 3 In 2.77-3.02, 1 Sc 2.97

## Properties
As for the total DFT energy (no corrections): -5.3580 eV/atom. The density of states at the Fermi level comes out at 7.62 states/eV per cell. As for the space group: C2/m (12). Its excess energy over the best structure of this formula in the dataset is 318 meV/atom. The total moment comes out at 0.00 μB per formula unit.

***

# Ce2SbAs3Rh4

Ce2SbAs3Rh4 after structural relaxation (PBE, the Alexandria database).

Unit cell a=4.2247 b=4.2247 c=10.6822 alpha=90.00 beta=90.00 gamma=90.00
Last column: nearest neighbours and their distance in Å.
Positions (direct):
Ce 0.0000 0.5000 0.2356  6 As 3.18-3.53, 8 Rh 3.26-3.29, 2 Sb 3.53
Ce 0.5000 0.0000 0.7644  6 As 3.18-3.53, 8 Rh 3.26-3.29, 2 Sb 3.53
Sb 0.0000 0.0000 0.5000  4 Rh 2.60
As 0.0000 0.5000 0.8676  5 Rh 2.40-2.54
As 0.5000 0.0000 0.1324  5 Rh 2.40-2.54
As 0.5000 0.5000 0.5000  4 Rh 2.60
Rh 0.0000 0.0000 0.0000  4 As 2.54
Rh 0.0000 0.5000 0.6426  3 As 2.40-2.60, 2 Sb 2.60
Rh 0.5000 0.0000 0.3574  3 As 2.40-2.60, 2 Sb 2.60
Rh 0.5000 0.5000 0.0000  4 As 2.54

## Properties
As for the total DFT energy (no corrections): -6.7873 eV/atom. The density of states at the Fermi level comes out at 11.63 states/eV per cell. As for the space group: P-4m2 (115). The total moment comes out at 0.80 μB per formula unit. The formation energy (no corrections) is -853 meV per atom.

***

# CrNi2Pb

CrNi2Pb after structural relaxation (PBE, the Alexandria database).

Unit cell a=3.8777 b=3.8777 c=7.9253 alpha=90.00 beta=90.00 gamma=90.00
Last column: nearest neighbours and their distance in Å.
Positions (direct):
Cr 0.0000 0.0000 0.0000  8 Ni 2.74-2.77, 4 Pb 2.77
Cr 0.5000 0.5000 0.5000  8 Ni 2.74-2.77, 4 Pb 2.77
Ni 0.0000 0.0000 0.5000  4 Cr 2.74, 4 Pb 2.77, 4 Ni 2.77
Ni 0.0000 0.5000 0.2500  4 Pb 2.74, 4 Cr 2.77, 4 Ni 2.77
Ni 0.5000 0.0000 0.7500  4 Pb 2.74, 4 Cr 2.77, 4 Ni 2.77
Ni 0.5000 0.5000 0.0000  4 Cr 2.74, 4 Pb 2.77, 4 Ni 2.77
Pb 0.0000 0.5000 0.7500  8 Ni 2.74-2.77, 4 Cr 2.77
Pb 0.5000 0.0000 0.2500  8 Ni 2.74-2.77, 4 Cr 2.77

## Properties
As for the total DFT energy (no corrections): -5.9232 eV/atom. The density of states at the Fermi level comes out at 5.68 states/eV per cell. As for the space group: I-4m2 (119). The total moment comes out at 3.81 μB per formula unit.

***

# NdThRuAu

NdThRuAu after structural relaxation (PBE, the Alexandria database).

Unit cell a=7.2550 b=7.2550 c=7.2550 alpha=90.00 beta=90.00 gamma=90.00
Last column: nearest neighbours and their distance in Å.
Positions (direct):
Nd 0.0000 0.0000 0.0000  4 Ru 3.14, 4 Au 3.14
Nd 0.0000 0.5000 0.5000  4 Ru 3.14, 4 Au 3.14
Nd 0.5000 0.0000 0.5000  4 Ru 3.14, 4 Au 3.14
Nd 0.5000 0.5000 0.0000  4 Ru 3.14, 4 Au 3.14
Th 0.0000 0.0000 0.5000  4 Ru 3.14, 4 Au 3.14
Th 0.0000 0.5000 0.0000  4 Ru 3.14, 4 Au 3.14
Th 0.5000 0.0000 0.0000  4 Ru 3.14, 4 Au 3.14
Th 0.5000 0.5000 0.5000  4 Ru 3.14, 4 Au 3.14
Ru 0.2500 0.2500 0.2500  4 Th 3.14, 4 Nd 3.14
Ru 0.2500 0.7500 0.7500  4 Th 3.14, 4 Nd 3.14
Ru 0.7500 0.2500 0.7500  4 Th 3.14, 4 Nd 3.14
Ru 0.7500 0.7500 0.2500  4 Th 3.14, 4 Nd 3.14
Au 0.2500 0.2500 0.7500  4 Th 3.14, 4 Nd 3.14
Au 0.2500 0.7500 0.2500  4 Th 3.14, 4 Nd 3.14
Au 0.7500 0.2500 0.2500  4 Th 3.14, 4 Nd 3.14
Au 0.7500 0.7500 0.7500  4 Th 3.14, 4 Nd 3.14

## Properties
As for the total DFT energy (no corrections): -6.6079 eV/atom. The density of states at the Fermi level comes out at 15.43 states/eV per cell. As for the space group: F-43m (216). The total moment comes out at 0.00 μB per formula unit.